# Rb3DyAs2O8, relaxed, DFT PBE
# formation energy (no corrections): -2.00 eV/atom
# space-group type: P-3m1
data_Rb3DyAs2O8
_chemical_formula_sum 'Rb3 Dy1 As2 O8'
_cell_length_a 5.995
_cell_length_b 5.995
_cell_length_c 8.162
_cell_angle_alpha 90.00
_cell_angle_beta 90.00
_cell_angle_gamma 120.00
_space_group_name_H-M_alt 'P 1'
_space_group_IT_number 1
loop_
_space_group_symop_operation_xyz
'x,y,z'
loop_
_atom_site_label
_atom_site_fract_x
_atom_site_fract_y
_atom_site_fract_z
Rb1 0.000 0.000 0.000
Rb2 0.333 0.667 0.723
Rb3 0.667 0.333 0.277
Dy1 0.000 0.000 0.500
As1 0.333 0.667 0.263
As2 0.667 0.333 0.737
O1 0.177 0.354 0.339
O2 0.177 0.823 0.339
O3 0.333 0.667 0.057
O4 0.354 0.177 0.661
O5 0.646 0.823 0.339
O6 0.667 0.333 0.943
O7 0.823 0.177 0.661
O8 0.823 0.646 0.661